The following is a PBE-GGA calculation of a relaxed BaIrPt2 crystal, from the Alexandria database.

a = 5.216 Å, b = 5.216 Å, c = 3.017 Å
α = 90.00°, β = 90.00°, γ = 105.82°
Element x y z (fractional)
Ba 0.000 0.000 0.000
Ir 0.500 0.500 0.000
Pt 0.000 0.500 0.500
Pt 0.500 0.000 0.500

- symmetry = Cmmm (65)

=====

The following is a PBE-GGA calculation of a relaxed BaIr2Pt crystal, from the Alexandria database.

a = 5.177 Å, b = 5.177 Å, c = 5.177 Å
α = 130.31°, β = 130.31°, γ = 72.92°
Element x y z (fractional)
Ba 0.000 0.000 0.000
Ir 0.250 0.750 0.500
Ir 0.500 0.500 0.000
Pt 0.750 0.250 0.500

- symmetry = I-4m2 (119)

=====

The following is a PBE-GGA calculation of a relaxed BaIrPt3 crystal, from the Alexandria database.

a = 5.216 Å, b = 5.216 Å, c = 5.216 Å
α = 90.00°, β = 90.00°, γ = 90.00°
Element x y z (fractional)
Ba 0.000 0.000 0.000
Ir 0.500 0.500 0.500
Pt 0.000 0.000 0.500
Pt 0.000 0.500 0.000
Pt 0.500 0.000 0.000

- symmetry = Pm-3m (221)

=====

Computed values of energy relative to the lowest polymorph listed for this composition (unit: meV per atom) for the preceding records, in sequence: 661; 914; 2230.
Computed values of V (unit: Å³/atom) for the preceding records, in sequence: 19.74; 19.70; 28.38.